Run a
The following is a DFT calculation (PBE) of a geometry-optimized Pr6CdCo2 structure.

Cell: 5.2391 5.8238 9.2559 Å, 79.58 90.00 116.73°
With the nearest neighbours (Å) after each atom.
Sites, in units of the cell vectors:
Pr: 0.9662 0.9324 0.8481  4 Pr 3.03-3.40, 2 Co 3.13, 1 Cd 3.17
Pr: 0.7058 0.4115 0.1610  1 Co 2.69
Pr: 0.2942 0.5885 0.8390  1 Co 2.69
Pr: 0.6636 0.3272 0.6230  1 Co 2.62
Pr: 0.3364 0.6728 0.3770  1 Co 2.62
Pr: 0.0338 0.0676 0.1519  4 Pr 3.03-3.40, 2 Co 3.13, 1 Cd 3.17
Cd: 0.0000 0.0000 0.5000  8 Pr 3.17-3.45
Co: 0.6095 0.2191 0.9119  1 Co 2.52, 2 Pr 2.62-2.69
Co: 0.3905 0.7809 0.0881  1 Co 2.52, 2 Pr 2.62-2.69

## Properties
* V: 247 Å³ per cell
* total magnetic moment: 0.0 μB/cell



Run b
The following is a DFT calculation (PBE) of a geometry-optimized Pr6CdCo2 structure.

Cell: 8.7166 8.7166 8.7166 Å, 107.35 112.53 108.58°
With the nearest neighbours (Å) after each atom.
Sites, in units of the cell vectors:
Pr: 0.5331 0.8184 0.7147  3 Co 3.01-3.18, 1 Cd 3.32
Pr: 0.4669 0.1816 0.2853  3 Co 3.01-3.18, 1 Cd 3.32
Pr: 0.1037 0.8184 0.2853  3 Co 3.01-3.18, 1 Cd 3.32
Pr: 0.8963 0.1816 0.7147  3 Co 3.01-3.18, 1 Cd 3.32
Pr: 0.7964 0.0294 0.2330  1 Co 2.76
Pr: 0.2036 0.9706 0.7670  1 Co 2.76
Pr: 0.2036 0.4366 0.2330  1 Co 2.76
Pr: 0.7964 0.5634 0.7670  1 Co 2.76
Pr: 0.6861 0.3231 0.0092  3 Co 2.84-3.06
Pr: 0.3140 0.6769 0.9908  3 Co 2.84-3.06
Pr: 0.3140 0.3231 0.6371  3 Co 2.84-3.06
Pr: 0.6861 0.6769 0.3629  3 Co 2.84-3.06
Cd: 0.0000 0.5000 0.5000  12 Pr 3.45-3.85
Cd: 0.0000 0.0000 0.0000  8 Pr 3.17-3.32, 2 Co 3.42
Co: 0.5000 0.1109 0.6109  1 Co 2.29
Co: 0.5000 0.8891 0.3891  1 Co 2.29
Co: 0.6635 0.6635 0.0000  6 Pr 2.76-3.06
Co: 0.3365 0.3365 0.0000  6 Pr 2.76-3.06

## Properties
* V: 509 Å³ per cell
* total magnetic moment: 0.0 μB/cell



The structure with the least stability is run a.